1.
# CsAg2BiB, optimized geometry, DFT GGA-PBE
data_CsAg2BiB
_space_group_name_H-M_alt 'P 1'
_space_group_IT_number 1
_cell_length_a 4.7344
_cell_length_b 4.7344
_cell_length_c 5.7599
_cell_angle_alpha 90.00
_cell_angle_beta 90.00
_cell_angle_gamma 90.00
loop_
_space_group_symop_operation_xyz
'x,y,z'
loop_
_atom_site_label
_atom_site_fract_x
_atom_site_fract_y
_atom_site_fract_z
_atom_site_occupancy
Cs1 0.0000 0.0000 0.0000 1
Ag1 0.0000 0.5000 0.5000 1
Ag2 0.5000 0.0000 0.5000 1
Bi1 0.5000 0.5000 0.0000 1
B1 0.0000 0.0000 0.5000 1
# **Total magnetization**: 0.000 μB per atom
# **N(E_F)**: 0.94 states/eV/atom
# **Electronic total energy**: -2.542 eV/atom
# **ΔE_f**: 0.881 eV/atom

2.
# KAg2BiB, optimized geometry, DFT GGA-PBE
data_KAg2BiB
_space_group_name_H-M_alt 'P 1'
_space_group_IT_number 1
_cell_length_a 5.6081
_cell_length_b 5.6081
_cell_length_c 4.9040
_cell_angle_alpha 90.00
_cell_angle_beta 90.00
_cell_angle_gamma 90.00
loop_
_space_group_symop_operation_xyz
'x,y,z'
loop_
_atom_site_label
_atom_site_fract_x
_atom_site_fract_y
_atom_site_fract_z
_atom_site_occupancy
K1 0.0000 0.0000 0.0000 1
Ag1 0.0000 0.5000 0.5000 1
Ag2 0.5000 0.0000 0.5000 1
Bi1 0.5000 0.5000 0.5000 1
B1 0.5000 0.5000 0.0000 1
# **Total magnetization**: 0.000 μB per atom
# **N(E_F)**: 0.58 states/eV/atom
# **Electronic total energy**: -2.607 eV/atom
# **ΔE_f**: 0.865 eV/atom

3.
# LiAgBiB2, optimized geometry, DFT GGA-PBE
data_LiAgBiB2
_space_group_name_H-M_alt 'P 1'
_space_group_IT_number 1
_cell_length_a 4.2600
_cell_length_b 4.2600
_cell_length_c 4.8442
_cell_angle_alpha 90.00
_cell_angle_beta 90.00
_cell_angle_gamma 90.00
loop_
_space_group_symop_operation_xyz
'x,y,z'
loop_
_atom_site_label
_atom_site_fract_x
_atom_site_fract_y
_atom_site_fract_z
_atom_site_occupancy
Li1 0.0000 0.0000 0.0000 1
Ag1 0.0000 0.0000 0.5000 1
Bi1 0.5000 0.5000 0.0000 1
B1 0.0000 0.5000 0.5000 1
B2 0.5000 0.0000 0.5000 1
# **Total magnetization**: 0.000 μB per atom
# **N(E_F)**: 0.38 states/eV/atom
# **Electronic total energy**: -3.279 eV/atom
# **ΔE_f**: 1.121 eV/atom

4.
# NbAg2BiB, optimized geometry, DFT GGA-PBE
data_NbAg2BiB
_space_group_name_H-M_alt 'P 1'
_space_group_IT_number 1
_cell_length_a 5.1834
_cell_length_b 5.1834
_cell_length_c 5.4645
_cell_angle_alpha 90.00
_cell_angle_beta 90.00
_cell_angle_gamma 90.00
loop_
_space_group_symop_operation_xyz
'x,y,z'
loop_
_atom_site_label
_atom_site_fract_x
_atom_site_fract_y
_atom_site_fract_z
_atom_site_occupancy
Nb1 0.0000 0.0000 0.0000 1
Ag1 0.0000 0.5000 0.5000 1
Ag2 0.5000 0.0000 0.5000 1
Bi1 0.0000 0.0000 0.5000 1
B1 0.5000 0.5000 0.0000 1
# **Total magnetization**: 0.000 μB per atom
# **N(E_F)**: 1.25 states/eV/atom
# **Electronic total energy**: -3.207 eV/atom
# **ΔE_f**: 2.059 eV/atom

no.,calculated volume (Å³ per cell)
1,129.1
2,154.2
3,87.9
4,146.8